A PBEsol-optimized structure of LaSb2. Source: Alexandria, functional meta-GGA SCAN.

Properties
formation energy from raw total energies = -260 kJ/mol of formula units

Cell and atoms, written as POSCAR:
```
LaSb2
1.0
-3.203 3.203 4.525
3.203 -3.203 4.525
3.203 3.203 -4.525
La Sb
2 4
Direct
0.250 0.250 0.000
0.750 0.750 0.000
0.166 0.666 0.832
0.334 0.166 0.500
0.666 0.834 0.500
0.834 0.334 0.168
```

A PBEsol-optimized structure of MnSiAg. Source: Alexandria, functional meta-GGA SCAN.

Properties
offset from the most stable computed form = 53 meV per atom
formation energy from raw total energies = 25 kJ/mol of formula units

Cell and atoms, written as POSCAR:
```
MnSiAg
1.0
-1.337 1.337 5.720
1.337 -1.337 5.720
1.337 1.337 -5.720
Mn Si Ag
1 1 1
Direct
0.000 0.000 0.000
0.633 0.633 0.000
0.319 0.319 0.000
```

A PBEsol-optimized structure of MnSe2Cl. Source: Alexandria, functional meta-GGA SCAN.

Properties
offset from the most stable computed form = 0 meV per atom
formation energy from raw total energies = -252 kJ/mol of formula units

Cell and atoms, written as POSCAR:
```
MnSe2Cl
1.0
5.255 -1.697 0.000
5.255 1.697 0.000
-1.366 0.000 5.180
Mn Se Cl
1 2 1
Direct
0.000 0.000 0.000
0.549 0.549 0.359
0.684 0.684 0.066
0.365 0.365 0.723
```

A PBEsol-optimized structure of BeZnTe2. Source: Alexandria, functional meta-GGA SCAN.

Properties
offset from the most stable computed form = 554 meV per atom
formation energy from raw total energies = 37 kJ/mol of formula units

Cell and atoms, written as POSCAR:
```
BeZnTe2
1.0
1.999 1.154 7.593
-1.999 1.154 7.593
0.000 -2.308 7.593
Be Zn Te
1 1 2
Direct
0.000 0.000 0.000
0.500 0.500 0.500
0.391 0.391 0.391
0.609 0.609 0.609
```